1.
DFT (PBE) results for an optimized crystal structure of Hg3Rh.

The calculation puts the energy of formation at 124 kJ/mol of formula units. The crystal system is cubic.

It has space group Pm-3n (No. 223), with a = 5.4806 Å, b = 5.4806 Å, c = 5.4806 Å, α = 90.00°, β = 90.00° and γ = 90.00°. The inequivalent atoms are Hg at (0.0000, 0.2500, 0.5000) and Rh at (0.0000, 0.0000, 0.0000).

=====

2.
DFT (PBE) results for an optimized crystal structure of Hg2Rh.

The calculation puts the energy of formation at 55 kJ/mol of formula units. The crystal system is hexagonal.

It has space group P-62m (No. 189), with a = 7.8318 Å, b = 7.8318 Å, c = 3.2915 Å, α = 90.00°, β = 90.00° and γ = 120.00°. The inequivalent atoms are Hg at (0.0000, 0.2835, 0.0000), Hg at (0.0000, 0.6092, 0.5000), Rh at (0.0000, 0.0000, 0.5000) and Rh at (0.3333, 0.6667, 0.0000).